(1)
Entry from Alexandria: a crystal of TiCSe3 relaxed with PBEsol (SCAN).

extended XYZ file:
```
5
Lattice="4.308 0.000 0.000 0.000 4.308 0.000 0.000 0.000 4.308" Properties=species:S:1:pos:R:3 pbc="T T T"
Ti 0.000 0.000 0.000
C 2.154 2.154 2.154
Se 0.000 2.154 2.154
Se 2.154 0.000 2.154
Se 2.154 2.154 0.000
```

## Properties
- symmetry = Pm-3m

=====

(2)
Entry from Alexandria: a crystal of Tl3CSe relaxed with PBEsol (SCAN).

extended XYZ file:
```
5
Lattice="4.890 0.000 0.000 0.000 4.890 0.000 0.000 0.000 4.890" Properties=species:S:1:pos:R:3 pbc="T T T"
Tl 0.000 0.000 2.445
Tl 0.000 2.445 0.000
Tl 2.445 0.000 0.000
C 0.000 0.000 0.000
Se 2.445 2.445 2.445
```

## Properties
- distance to the lowest polymorph of the same formula (meV per atom) = 0.0
- symmetry = Pm-3m

=====

(3)
Entry from Alexandria: a crystal of Tl3CSe relaxed with PBEsol (SCAN).

extended XYZ file:
```
5
Lattice="6.016 0.000 0.000 0.000 6.016 0.000 0.000 0.000 6.016" Properties=species:S:1:pos:R:3 pbc="T T T"
Tl 0.000 0.000 3.008
Tl 0.000 3.008 0.000
Tl 3.008 0.000 0.000
C 3.008 3.008 3.008
Se 0.000 0.000 0.000
```

## Properties
- distance to the lowest polymorph of the same formula (meV per atom) = 713.8
- symmetry = Pm-3m

=====

(4)
Entry from Alexandria: a crystal of YCSe3 relaxed with PBEsol (SCAN).

extended XYZ file:
```
5
Lattice="4.462 0.000 0.000 0.000 4.462 0.000 0.000 0.000 4.462" Properties=species:S:1:pos:R:3 pbc="T T T"
Y 0.000 0.000 0.000
C 2.231 2.231 2.231
Se 0.000 2.231 2.231
Se 2.231 0.000 2.231
Se 2.231 2.231 0.000
```

## Properties
- distance to the lowest polymorph of the same formula (meV per atom) = 0.0
- symmetry = Pm-3m

=====

(5)
Entry from Alexandria: a crystal of YCSe3 relaxed with PBEsol (SCAN).

extended XYZ file:
```
5
Lattice="5.391 0.000 0.000 0.000 5.391 0.000 0.000 0.000 5.391" Properties=species:S:1:pos:R:3 pbc="T T T"
Y 0.000 0.000 0.000
C 2.695 2.695 2.695
Se 0.000 0.000 2.695
Se 0.000 2.695 0.000
Se 2.695 0.000 0.000
```

## Properties
- distance to the lowest polymorph of the same formula (meV per atom) = 1006.4
- symmetry = Pm-3m

=====

(6)
Entry from Alexandria: a crystal of ZnC3Se relaxed with PBEsol (SCAN).

extended XYZ file:
```
5
Lattice="3.871 0.000 0.000 0.000 3.871 0.000 0.000 0.000 3.871" Properties=species:S:1:pos:R:3 pbc="T T T"
Zn 0.000 0.000 0.000
C 0.000 1.935 1.935
C 1.935 0.000 1.935
C 1.935 1.935 0.000
Se 1.935 1.935 1.935
```

## Properties
- symmetry = Pm-3m

=====

The evaluated formation energy from raw total energies for the records listed, in turn: 70.9 67.9 136.8 0.4 97.5 288.0 kJ/mol of atoms.